1.
## PmTeSe (PBE)

Data for PmTeSe after structural relaxation.

Cell: 4.3358 4.3358 17.7365 Å, 90.00 90.00 90.00°
Space group I4/mmm (No. 139)
Unique sites:
Pm1 0.0000 0.0000 0.1502 [4 per cell]
Te1 0.0000 0.5000 0.0000 [4 per cell]
Se1 0.0000 0.0000 0.3161 [4 per cell]

Values from the calculation:
energy = -62.24 eV for the cell shown
E_form (uncorrected) = -1.394 eV/atom
relative energy among the computed polymorphs = 0.058 eV/atom

---

2.
## ReSi2W (PBE)

Data for ReSi2W after structural relaxation.

Cell: 8.7689 3.0085 4.4481 Å, 90.00 106.84 90.00°
Space group Cm (No. 8)
Unique sites:
Re1 0.0000 0.0000 0.0000 [2 per cell]
Si1 0.0087 0.5000 0.5270 [2 per cell]
Si2 0.2564 0.0000 0.8447 [2 per cell]
W1 0.2599 0.5000 0.3559 [2 per cell]

Values from the calculation:
energy = -73.79 eV for the cell shown
E_form (uncorrected) = -0.163 eV/atom
relative energy among the computed polymorphs = 0.139 eV/atom

---

3.
## Li2Ag8Pd (PBE)

Data for Li2Ag8Pd after structural relaxation.

Cell: 14.6657 4.1155 6.4439 Å, 90.00 105.46 90.00°
Space group C2/m (No. 12)
Unique sites:
Li1 0.2252 0.0000 0.1465 [4 per cell]
Ag1 0.0451 0.0000 0.2299 [4 per cell]
Ag2 0.0944 0.5000 0.9542 [4 per cell]
Ag3 0.1390 0.0000 0.6885 [4 per cell]
Ag4 0.1810 0.5000 0.4098 [4 per cell]
Pd1 0.0000 0.5000 0.5000 [2 per cell]

Values from the calculation:
ΔH_f (0 K) = -0.101 eV/atom
energy = -65.89 eV for the cell shown
relative energy among the computed polymorphs = 0.000 eV/atom

---

The records above yield D(E_F) values of 0.6, 2.3, 3.0 states/eV/f.u., respectively.